[1]
## KGeBr4 (PBE)

Data for crystalline KGeBr4 at its relaxed geometry.

Results
Total magnetic moment: 0.000 μB per cell
Energy: -35.674 eV for the cell shown

Structure (CIF):
```
data_KGeBr4
_space_group_name_H-M_alt 'P 1 21/m 1'
_space_group_IT_number 11
_cell_length_a 6.836
_cell_length_b 11.204
_cell_length_c 6.921
_cell_angle_alpha 90.00
_cell_angle_beta 100.98
_cell_angle_gamma 90.00
loop_
_space_group_symop_operation_xyz
'x,y,z'
'-x,-y,-z'
'-x,y+1/2,-z'
'x,-y+1/2,z'
loop_
_atom_site_label
_atom_site_type_symbol
_atom_site_fract_x
_atom_site_fract_y
_atom_site_fract_z
K1 K 0.176 0.250 0.162
Ge1 Ge 0.322 0.750 0.343
Br1 Br 0.144 0.576 0.158
Br2 Br 0.315 0.750 0.702
Br3 Br 0.316 0.250 0.666
```

[2]
## KGe3Br (PBE)

Data for crystalline KGe3Br at its relaxed geometry.

Results
Total magnetic moment: 2.530 μB per cell
Energy: -9.380 eV for the cell shown
ΔE to the lowest computed polymorph: 817 meV per atom

Structure (CIF):
```
data_KGe3Br
_space_group_name_H-M_alt 'P m -3 m'
_space_group_IT_number 221
_space_group_name_Hall '-P 4 2 3'
_cell_length_a 5.823
_cell_length_b 5.823
_cell_length_c 5.823
_cell_angle_alpha 90.00
_cell_angle_beta 90.00
_cell_angle_gamma 90.00
loop_
_atom_site_label
_atom_site_type_symbol
_atom_site_fract_x
_atom_site_fract_y
_atom_site_fract_z
K1 K 0.000 0.000 0.000
Ge1 Ge 0.000 0.000 0.500
Br1 Br 0.500 0.500 0.500
```

[3]
## K2GeBr4 (PBE)

Data for crystalline K2GeBr4 at its relaxed geometry.

Results
Total magnetic moment: 0.000 μB per cell
Energy: -177.440 eV for the cell shown
ΔE to the lowest computed polymorph: 0 meV per atom

Structure (CIF):
```
data_K2GeBr4
_space_group_name_H-M_alt 'F d d 2'
_space_group_IT_number 43
_space_group_name_Hall 'F 2 -2d'
_cell_length_a 14.977
_cell_length_b 15.570
_cell_length_c 9.559
_cell_angle_alpha 90.00
_cell_angle_beta 90.00
_cell_angle_gamma 90.00
loop_
_atom_site_label
_atom_site_type_symbol
_atom_site_fract_x
_atom_site_fract_y
_atom_site_fract_z
K1 K 0.021 0.241 0.000
Ge1 Ge 0.000 0.000 0.292
Br1 Br 0.109 0.152 0.278
Br2 Br 0.109 0.432 0.970
```

[4]
## KLiGe2Br6 (PBE)

Data for crystalline KLiGe2Br6 at its relaxed geometry.

Results
Total magnetic moment: 0.000 μB per cell
Energy: -127.100 eV for the cell shown

Structure (CIF):
```
data_KLiGe2Br6
_space_group_name_H-M_alt 'C 1 2/c 1'
_space_group_IT_number 15
_cell_length_a 12.609
_cell_length_b 14.472
_cell_length_c 9.912
_cell_angle_alpha 90.00
_cell_angle_beta 119.23
_cell_angle_gamma 90.00
loop_
_space_group_symop_operation_xyz
'x,y,z'
'-x,-y,-z'
'-x,y,-z+1/2'
'x,-y,z+1/2'
'x+1/2,y+1/2,z'
'-x+1/2,-y+1/2,-z'
'-x+1/2,y+1/2,-z+1/2'
'x+1/2,-y+1/2,z+1/2'
loop_
_atom_site_label
_atom_site_type_symbol
_atom_site_fract_x
_atom_site_fract_y
_atom_site_fract_z
K1 K 0.000 0.100 0.250
Li1 Li 0.000 0.207 0.750
Ge1 Ge 0.145 0.421 0.179
Br1 Br 0.113 0.266 0.038
Br2 Br 0.116 0.090 0.665
Br3 Br 0.150 0.456 0.500
```

[5]
## K2MgGeBr6 (PBE)

Data for crystalline K2MgGeBr6 at its relaxed geometry.

Results
Total magnetic moment: 0.000 μB per cell
Energy: -93.895 eV for the cell shown

Structure (CIF):
```
data_K2MgGeBr6
_space_group_name_H-M_alt 'R 3'
_space_group_IT_number 146
_space_group_name_Hall 'R 3'
_cell_length_a 7.6936
_cell_length_b 7.6936
_cell_length_c 18.6643
_cell_angle_alpha 90.00
_cell_angle_beta 90.00
_cell_angle_gamma 120.00
loop_
_atom_site_label
_atom_site_type_symbol
_atom_site_fract_x
_atom_site_fract_y
_atom_site_fract_z
K1 K 0.0000 0.0000 0.0000
K2 K 0.0000 0.0000 0.4990
Mg1 Mg 0.0000 0.0000 0.7638
Ge1 Ge 0.0000 0.0000 0.2637
Br1 Br 0.0103 0.5776 0.5161
Br2 Br 0.0967 0.3390 0.3520
```

[6]
## KNa2Ge2Br7 (PBE)

Data for crystalline KNa2Ge2Br7 at its relaxed geometry.

Results
Total magnetic moment: 0.000 μB per cell
Energy: -75.320 eV for the cell shown

Structure (CIF):
```
data_KNa2Ge2Br7
_space_group_name_H-M_alt 'I m m 2'
_space_group_IT_number 44
_cell_length_a 5.714
_cell_length_b 23.097
_cell_length_c 6.001
_cell_angle_alpha 90.00
_cell_angle_beta 90.00
_cell_angle_gamma 90.00
loop_
_space_group_symop_operation_xyz
'x,y,z'
'-x,-y,z'
'-x,y,z'
'x,-y,z'
'x+1/2,y+1/2,z+1/2'
'-x+1/2,-y+1/2,z+1/2'
'-x+1/2,y+1/2,z+1/2'
'x+1/2,-y+1/2,z+1/2'
loop_
_atom_site_label
_atom_site_type_symbol
_atom_site_fract_x
_atom_site_fract_y
_atom_site_fract_z
K1 K 0.000 0.000 0.000
Na1 Na 0.000 0.253 0.619
Ge1 Ge 0.000 0.382 0.096
Br1 Br 0.000 0.120 0.640
Br2 Br 0.000 0.258 0.118
Br3 Br 0.000 0.387 0.675
Br4 Br 0.000 0.500 0.174
```

[7]
## KNdGe2Br8 (PBE)

Data for crystalline KNdGe2Br8 at its relaxed geometry.

Results
Total magnetic moment: 0.000 μB per cell
Energy: -42.483 eV for the cell shown

Structure (CIF):
```
data_KNdGe2Br8
_space_group_name_H-M_alt 'P -1'
_space_group_IT_number 2
_cell_length_a 6.742
_cell_length_b 7.283
_cell_length_c 9.297
_cell_angle_alpha 86.21
_cell_angle_beta 87.87
_cell_angle_gamma 86.06
loop_
_space_group_symop_operation_xyz
'x,y,z'
'-x,-y,-z'
loop_
_atom_site_label
_atom_site_type_symbol
_atom_site_fract_x
_atom_site_fract_y
_atom_site_fract_z
K1 K 0.000 0.000 0.000
Nd1 Nd 0.000 0.000 0.500
Ge1 Ge 0.459 0.459 0.251
Br1 Br 0.235 0.818 0.279
Br2 Br 0.242 0.326 0.467
Br3 Br 0.267 0.854 0.726
Br4 Br 0.271 0.362 0.048
```

[8]
## KNi2GeBr (PBE)

Data for crystalline KNi2GeBr at its relaxed geometry.

Results
Total magnetic moment: 0.052 μB per cell
Energy: -11.397 eV for the cell shown

Structure (CIF):
```
data_KNi2GeBr
_space_group_name_H-M_alt 'P 4/m m m'
_space_group_IT_number 123
_space_group_name_Hall '-P 4 2'
_cell_length_a 4.742
_cell_length_b 4.742
_cell_length_c 5.576
_cell_angle_alpha 90.00
_cell_angle_beta 90.00
_cell_angle_gamma 90.00
loop_
_atom_site_label
_atom_site_type_symbol
_atom_site_fract_x
_atom_site_fract_y
_atom_site_fract_z
K1 K 0.000 0.000 0.000
Ni1 Ni 0.000 0.500 0.000
Ge1 Ge 0.500 0.500 0.500
Br1 Br 0.000 0.000 0.500
```